# 1
Density functional theory data (PBE) for crystalline KPaGaF6 at its relaxed geometry.

Computed properties:
As for the formation energy from raw total energies: -3.095 eV/atom.

CIF file:
```
data_KPaGaF6
_chemical_formula_sum 'K2 Pa2 Ga2 F12'
_cell_length_a 6.677
_cell_length_b 6.677
_cell_length_c 9.432
_cell_angle_alpha 90.00
_cell_angle_beta 90.00
_cell_angle_gamma 120.00
_space_group_name_H-M_alt 'P 1'
_space_group_IT_number 1
loop_
_space_group_symop_operation_xyz
'x,y,z'
loop_
_atom_site_label
_atom_site_fract_x
_atom_site_fract_y
_atom_site_fract_z
K1 0.333 0.667 0.250
K2 0.667 0.333 0.750
Pa1 0.333 0.667 0.750
Pa2 0.667 0.333 0.250
Ga1 0.000 0.000 0.000
Ga2 0.000 0.000 0.500
F1 0.055 0.383 0.626
F2 0.055 0.672 0.874
F3 0.328 0.383 0.874
F4 0.328 0.945 0.626
F5 0.383 0.055 0.126
F6 0.383 0.328 0.374
F7 0.617 0.672 0.626
F8 0.617 0.945 0.874
F9 0.672 0.055 0.374
F10 0.672 0.617 0.126
F11 0.945 0.328 0.126
F12 0.945 0.617 0.374
```

***

# 2
Density functional theory data (PBE) for crystalline CdW3 at its relaxed geometry.

Computed properties:
The formation energy is 196.7 kJ/mol of formula units. For the energy above the most stable polymorph in this dataset, the calculation gives 195.0 meV/atom.

CIF file:
```
data_CdW3
_chemical_formula_sum 'Cd2 W6'
_cell_length_a 5.828
_cell_length_b 5.828
_cell_length_c 4.682
_cell_angle_alpha 90.00
_cell_angle_beta 90.00
_cell_angle_gamma 120.00
_space_group_name_H-M_alt 'P 1'
_space_group_IT_number 1
loop_
_space_group_symop_operation_xyz
'x,y,z'
loop_
_atom_site_label
_atom_site_fract_x
_atom_site_fract_y
_atom_site_fract_z
Cd1 0.333 0.667 0.250
Cd2 0.667 0.333 0.750
W1 0.153 0.305 0.750
W2 0.153 0.847 0.750
W3 0.305 0.153 0.250
W4 0.695 0.847 0.750
W5 0.847 0.153 0.250
W6 0.847 0.695 0.250
```

***

# 3
Density functional theory data (PBE) for crystalline Na5Tl4Cd2 at its relaxed geometry.

Computed properties:
The formation energy is -30.9 kJ/mol of formula units. For the energy above the most stable polymorph in this dataset, the calculation gives 43.5 meV/atom.

CIF file:
```
data_Na5Tl4Cd2
_chemical_formula_sum 'Na5 Tl4 Cd2'
_cell_length_a 12.249
_cell_length_b 12.249
_cell_length_c 8.008
_cell_angle_alpha 90.22
_cell_angle_beta 90.22
_cell_angle_gamma 15.94
_space_group_name_H-M_alt 'P 1'
_space_group_IT_number 1
loop_
_space_group_symop_operation_xyz
'x,y,z'
loop_
_atom_site_label
_atom_site_fract_x
_atom_site_fract_y
_atom_site_fract_z
Na1 0.000 0.000 0.000
Na2 0.272 0.272 0.264
Na3 0.355 0.355 0.912
Na4 0.645 0.645 0.088
Na5 0.728 0.728 0.736
Tl1 0.154 0.154 0.455
Tl2 0.459 0.459 0.657
Tl3 0.541 0.541 0.343
Tl4 0.846 0.846 0.545
Cd1 0.414 0.414 0.265
Cd2 0.586 0.586 0.735
```

***

# 4
Density functional theory data (PBE) for crystalline La2Ge2Mo at its relaxed geometry.

Computed properties:
The formation energy is 176.2 kJ/mol of formula units. For the energy above the most stable polymorph in this dataset, the calculation gives 184.8 meV/atom.

CIF file:
```
data_La2Ge2Mo
_chemical_formula_sum 'La4 Ge4 Mo2'
_cell_length_a 8.087
_cell_length_b 8.087
_cell_length_c 3.851
_cell_angle_alpha 90.00
_cell_angle_beta 90.00
_cell_angle_gamma 90.00
_space_group_name_H-M_alt 'P 1'
_space_group_IT_number 1
loop_
_space_group_symop_operation_xyz
'x,y,z'
loop_
_atom_site_label
_atom_site_fract_x
_atom_site_fract_y
_atom_site_fract_z
La1 0.131 0.369 0.000
La2 0.369 0.869 0.000
La3 0.631 0.131 0.000
La4 0.869 0.631 0.000
Ge1 0.175 0.675 0.500
Ge2 0.325 0.175 0.500
Ge3 0.675 0.825 0.500
Ge4 0.825 0.325 0.500
Mo1 0.000 0.000 0.000
Mo2 0.500 0.500 0.000
```